Record 1
Entry from Alexandria: NaAcAgBi after structural relaxation (GGA-PBE).

Lattice parameters (Å, degrees): 5.589 5.589 5.589 60.00 60.00 60.00
Sites, in units of the cell vectors:
Na 0.000 0.000 0.000
Bi 0.750 0.750 0.750
Ac 0.500 0.500 0.500
Ag 0.250 0.250 0.250

Values from the calculation:
- DFT total energy (eV/atom) = -3.474
- ΔH_f (0 K) (eV/atom) = -0.43

Record 2
Entry from Alexandria: Ho6Mg2Rh after structural relaxation (GGA-PBE).

Lattice parameters (Å, degrees): 4.944 6.729 8.389 113.71 90.00 90.00
Sites, in units of the cell vectors:
Ho 0.500 0.243 0.000
Ho 0.000 0.103 0.708
Ho 0.000 0.605 0.708
Ho 0.500 0.757 0.000
Ho 0.000 0.897 0.292
Ho 0.000 0.395 0.292
Mg 0.500 0.257 0.513
Mg 0.500 0.743 0.487
Rh 0.000 0.000 0.000

Values from the calculation:
- DFT total energy (eV/atom) = -4.296
- ΔH_f (0 K) (eV/atom) = -0.07